Dy5ThTl3 after structural relaxation, computed with PBE-GGA.

Results
DOS at the Fermi energy = 1.28 states/eV per atom
ΔH_f (0 K) = -0.235 eV/atom
Space group = P6_3/mcm, No. 193

Geometry as POSCAR:
```
Dy5ThTl3
1.0
-3.0694 -5.7274 -1.5748
3.4731 0.5458 -8.7546
4.8681 -4.4611 6.7363
Dy Th Tl
10 2 6
Cartesian
3.9389 -1.1236 -3.5907
2.8676 -5.6553 0.7850
4.4023 -2.7916 1.5724
2.4042 -3.9873 -4.3781
3.3329 -6.9407 -2.5438
2.7500 -5.1969 -7.7496
-1.1751 -4.1184 -4.0218
1.9389 -2.7019 -1.0492
2.5218 -4.4457 4.1566
1.5788 -1.0631 -6.3075
0.0000 0.0000 0.0000
-1.5347 -2.8637 -0.7874
0.5766 -5.6468 -1.8774
4.3590 -6.6712 -5.5240
-0.0278 -3.9381 -6.9137
4.6952 -3.9959 -1.7156
0.9128 -2.9714 1.9310
0.4315 -1.2434 -3.4157
```